# 1
TbHo5ErTh2: optimized geometry, GGA-PBE.

Values from the calculation:
Symmetry: I4/mcm, No. 140
DFT formation energy, eV per atom: 0.348
E_tot, eV/atom: -4.866

Lattice parameters (Å, degrees): 8.735 8.735 9.867 116.27 116.27 90.00
Element x y z (fractional)
1 Ho 0.500 0.500 0.000
2 Ho 0.071 0.571 0.720
3 Ho 0.000 0.000 0.000
4 Ho 0.571 0.650 0.720
5 Ho 0.150 0.071 0.720
6 Ho 0.429 0.350 0.280
7 Ho 0.850 0.929 0.280
8 Ho 0.650 0.150 0.720
9 Ho 0.350 0.850 0.280
10 Ho 0.929 0.429 0.280
11 Th 0.381 0.881 0.000
12 Th 0.119 0.381 0.000
13 Th 0.619 0.119 0.000
14 Th 0.881 0.619 0.000
15 Tb 0.750 0.750 0.500
16 Tb 0.250 0.250 0.500
17 Er 0.750 0.250 0.500
18 Er 0.250 0.750 0.500

---

# 2
MnMoN2: optimized geometry, GGA-PBE.

Values from the calculation:
Symmetry: Fm-3m, No. 225
E_tot, eV/atom: -8.894
Formation energy (no corrections), eV per atom: 0.269

Lattice parameters (Å, degrees): 3.723 3.723 3.723 60.00 60.00 60.00
Site moments in Bohr magnetons follow the coordinates.
Element x y z (fractional)
1 Mo 0.500 0.500 0.500  -0.05
2 N 0.750 0.750 0.750  -0.02
3 N 0.250 0.250 0.250  -0.02
4 Mn 0.000 0.000 0.000  2.88

---

# 3
LiP2W: optimized geometry, GGA-PBE.

Values from the calculation:
Symmetry: Imm2, No. 44
DFT formation energy, eV per atom: -0.248
E_tot, eV/atom: -6.670
Excess energy over the best structure of this formula in the dataset, meV per atom: 92

Lattice parameters (Å, degrees): 6.780 6.780 6.780 153.61 151.92 38.91
Element x y z (fractional)
1 Li 0.296 0.796 0.500
2 W 0.548 0.548 0.000
3 P 0.691 0.191 0.500
4 P 0.964 0.964 0.000

---

# 4
SrIr2Rh: optimized geometry, GGA-PBE.

Values from the calculation:
Symmetry: Pmmm, No. 47
DFT formation energy, eV per atom: 0.393
E_tot, eV/atom: -6.295
Excess energy over the best structure of this formula in the dataset, meV per atom: 203

Lattice parameters (Å, degrees): 2.885 4.806 5.057 90.00 90.00 90.00
Element x y z (fractional)
1 Ir 0.500 0.500 0.000
2 Ir 0.000 0.000 0.000
3 Sr 0.000 0.500 0.500
4 Rh 0.500 0.000 0.500

---

# 5
Cr2HgPb: optimized geometry, GGA-PBE.

Values from the calculation:
Symmetry: R-3m, No. 166
DFT formation energy, eV per atom: 0.678
E_tot, eV/atom: -5.137
Excess energy over the best structure of this formula in the dataset, meV per atom: 304

Lattice parameters (Å, degrees): 8.963 8.963 8.963 21.44 21.44 21.44
Site moments in Bohr magnetons follow the coordinates.
Element x y z (fractional)
1 Cr 0.503 0.503 0.503  3.52
2 Cr 0.997 0.997 0.997  3.52
3 Pb 0.750 0.750 0.750  -0.09
4 Hg 0.250 0.250 0.250  -0.02

---

# 6
Ba2LiSi: optimized geometry, GGA-PBE.

Values from the calculation:
Symmetry: I-42d, No. 122
E_tot, eV/atom: -2.425
Formation energy (no corrections), eV per atom: 0.371

Lattice parameters (Å, degrees): 5.625 5.625 11.295 75.58 75.58 90.00
Site moments in Bohr magnetons follow the coordinates.
Element x y z (fractional)
1 Ba 0.650 0.125 0.250  0.07
2 Ba 0.375 0.350 0.750  0.07
3 Ba 0.100 0.625 0.250  0.07
4 Ba 0.875 0.900 0.750  0.07
5 Li 0.500 0.500 0.000  0.04
6 Li 0.250 0.750 0.500  0.03
7 Si 0.000 0.000 0.000  0.00
8 Si 0.750 0.250 0.500  0.00

---

# 7
Lu2ReC: optimized geometry, GGA-PBE.

Values from the calculation:
Symmetry: R-3m, No. 166
DFT formation energy, eV per atom: 0.522
E_tot, eV/atom: -7.157

Lattice parameters (Å, degrees): 3.244 3.244 8.474 78.97 78.97 60.00
Element x y z (fractional)
1 C 0.500 0.500 0.500
2 Re 0.000 0.000 0.000
3 Lu 0.112 0.112 0.664
4 Lu 0.888 0.888 0.336

---

# 8
CsPbSe: optimized geometry, GGA-PBE.

Values from the calculation:
Symmetry: Immm, No. 71
E_tot, eV/atom: -3.264
Formation energy (no corrections), eV per atom: -0.582
Excess energy over the best structure of this formula in the dataset, meV per atom: 0

Lattice parameters (Å, degrees): 4.337 8.262 8.262 83.37 74.78 74.78
Element x y z (fractional)
1 Cs 0.308 0.692 0.692
2 Cs 0.692 0.308 0.308
3 Pb 0.500 0.858 0.142
4 Pb 0.500 0.142 0.858
5 Se 0.000 0.691 0.309
6 Se 0.000 0.309 0.691

---

One value per record, in order, for calculated volume: 32.6; 9.1; 16.3; 17.5; 21.1; 41.8; 18.8; 45.9 Å³/atom.